(1)
## BaTl2V2S7 (GGA-PBE)

Data for an optimized crystal structure of BaTl2V2S7.

Geometry as POSCAR:
```
BaTl2V2S7
1.0
6.7349 0.0000 0.0000
3.3675 5.8326 0.0000
3.3675 1.9442 9.7281
Ba Tl V S
1 2 2 7
Direct
0.5000 0.5000 0.5000
0.6986 0.6986 0.9041
0.3014 0.3014 0.0959
0.9238 0.9238 0.2286
0.0762 0.0762 0.7714
0.1824 0.9326 0.2996
0.5853 0.1824 0.2996
0.9326 0.5853 0.2996
0.4147 0.0674 0.7004
0.8176 0.4147 0.7004
0.0000 0.0000 0.0000
0.0674 0.8176 0.7004
```

Results
* volume: 382.1 Å³/cell
* uncorrected formation energy: -81 kJ/mol of atoms
* crystal system: trigonal
* symmetry: No. 155

=====

(2)
## PmPrNdSc (GGA-PBE)

Data for an optimized crystal structure of PmPrNdSc.

Geometry as POSCAR:
```
PmPrNdSc
1.0
-5.3588 1.8139 -0.5528
-3.5994 -0.3911 4.3823
-1.7035 4.6993 2.7070
Pr Sc Nd Pm
1 1 1 1
Direct
0.2500 0.2500 0.2500
0.0000 0.0000 0.0000
0.7500 0.7500 0.7500
0.5000 0.5000 0.5000
```

Results
* volume: 129.9 Å³/cell
* crystal system: cubic
* symmetry: No. 216
* D(E_F): 2.035 states/eV/atom
* E_form: 0.128 eV per atom

=====

(3)
## Cr2CoAu (GGA-PBE)

Data for an optimized crystal structure of Cr2CoAu.

Geometry as POSCAR:
```
Cr2CoAu
1.0
0.0000 3.0574 3.0574
3.0574 0.0000 3.0574
3.0574 3.0574 0.0000
Co Au Cr
1 1 2
Direct
0.0000 0.0000 0.0000
0.5000 0.5000 0.5000
0.2500 0.2500 0.2500
0.7500 0.7500 0.7500
```

Results
* volume: 57.2 Å³/cell
* crystal system: cubic
* symmetry: No. 225
* D(E_F): 3.391 states/eV/atom
* E_form: 0.423 eV per atom

=====

(4)
## NaInBr (GGA-PBE)

Data for an optimized crystal structure of NaInBr.

Geometry as POSCAR:
```
NaInBr
1.0
3.7659 -0.0031 0.0007
0.0283 7.3052 0.0574
1.7846 3.4162 6.8000
Na In Br
2 2 2
Direct
0.4414 0.0034 0.6517
0.3126 0.3907 0.9233
0.0291 0.6705 0.4818
0.7121 0.6546 0.1307
0.8359 0.1150 0.8712
0.0889 0.1225 0.3399
```

Results
* volume: 186.3 Å³/cell
* uncorrected formation energy: -69 kJ/mol of atoms
* crystal system: triclinic
* symmetry: No. 1
* D(E_F): 0.138 states/eV/atom